Crystalline La7Cd2Pd2 at its relaxed geometry. Source: Alexandria via LeMat-Bulk, functional PBE-GGA.

a = 3.924 Å, b = 16.818 Å, c = 10.609 Å
α = 90.00°, β = 90.00°, γ = 90.00°
Space group Imm2 (No. 44)
One atom of each set of equivalent atoms:
La  0.000  0.000  0.000 [2 per cell]
La  0.000  0.129  0.574 [4 per cell]
La  0.000  0.317  0.367 [4 per cell]
La  0.000  0.356  0.728 [4 per cell]
Cd  0.000  0.000  0.334 [2 per cell]
Cd  0.000  0.500  0.239 [2 per cell]
Pd  0.000  0.234  0.062 [4 per cell]

Excess energy over the best structure of this formula in the dataset in meV/atom: 0
E_form in kJ/mol of formula units: -396.6
Volume in Å³ per cell: 700.11
Calculated total energy in eV/atom: -4.620